(1)
DFT (PBE) results for a relaxed structure of Tb2AgS3.

a b c (Å): 3.624 4.580 8.295
angles (deg): 106.03 102.62 90.00
Sites, in units of the cell vectors:
S (0.000, 0.500, 0.000)
S (0.820, 0.820, 0.641)
S (0.180, 0.180, 0.359)
Tb (0.357, 0.357, 0.714)
Tb (0.643, 0.643, 0.286)
Ag (0.000, 0.000, 0.000)

Output
The value obtained for the final energy is -5.489 eV/atom. The uncorrected formation energy is -136 kJ/mol of atoms. Its space-group type is Immm. Its density of states at the Fermi level is 1.51 states/eV per cell.

(2)
DFT (PBE) results for a relaxed structure of HoGa2F8.

a b c (Å): 5.151 5.674 5.674
angles (deg): 79.03 96.65 96.65
Last column: magnetic moment on the atom in μB.
Sites, in units of the cell vectors:
F (0.191, 0.794, 0.794)  -0.03
F (0.747, 0.146, 0.683)  -0.04
F (0.636, 0.631, 0.631)  -0.04
F (0.747, 0.683, 0.146)  -0.04
F (0.253, 0.854, 0.317)  -0.04
F (0.809, 0.206, 0.206)  -0.03
F (0.253, 0.317, 0.854)  -0.04
F (0.364, 0.369, 0.369)  -0.04
Ga (0.739, 0.415, 0.415)  -0.20
Ga (0.261, 0.585, 0.585)  -0.20
Ho (0.000, 0.000, 0.000)  -0.02

Output
The value obtained for the final energy is -5.266 eV/atom. The uncorrected formation energy is -283 kJ/mol of atoms. Its space-group type is C2/m. Its energy above the most stable polymorph in this dataset is 0 kJ/mol of formula units. Its density of states at the Fermi level is 1.41 states/eV per cell.